{"formula": "Be3GePd", "functional": "PBE-GGA", "state": "optimized geometry", "lattice_angstrom": [[4.258, 0.000, 0.000], [0.000, 4.258, 0.000], [0.000, 0.000, 4.258]], "species": ["Be", "Be", "Be", "Ge", "Pd"], "fractional_positions": [[0.000, 0.000, 0.500], [0.000, 0.500, 0.000], [0.500, 0.000, 0.000], [0.500, 0.500, 0.500], [0.000, 0.000, 0.000]], "delta_e_f_ev_per_atom": 0.5073, "crystal_system": "cubic", "sg": "Pm-3m, No. 221", "polymorph_energy_mev_per_atom": 0}

***

{"formula": "YSiPb", "functional": "PBE-GGA", "state": "optimized geometry", "lattice_angstrom": [[0.000, 3.514, 3.514], [3.514, 0.000, 3.514], [3.514, 3.514, 0.000]], "species": ["Y", "Si", "Pb"], "fractional_positions": [[0.000, 0.000, 0.000], [0.250, 0.250, 0.250], [0.750, 0.750, 0.750]], "crystal_system": "cubic", "sg": "F-43m, No. 216", "formation_energy_uncorrected_ev_per_atom": 0.124, "polymorph_energy_mev_per_atom": 635}

***

{"formula": "Ca2EuSe", "functional": "PBE-GGA", "state": "optimized geometry", "lattice_angstrom": [[2.017, 1.164, 10.308], [-2.017, 1.164, 10.308], [0.000, -2.329, 10.308]], "species": ["Ca", "Ca", "Eu", "Se"], "fractional_positions": [[0.225, 0.225, 0.225], [0.775, 0.775, 0.775], [0.000, 0.000, 0.000], [0.500, 0.500, 0.500]], "crystal_system": "trigonal", "sg": "R-3m, No. 166", "formation_energy_uncorrected_ev_per_atom": -0.898}

***

{"formula": "Tb4Dy5Y", "functional": "PBE-GGA", "state": "optimized geometry", "lattice_angstrom": [[8.601, -1.762, 0.000], [8.601, 1.762, 0.000], [-0.018, 0.000, 10.949]], "species": ["Tb", "Tb", "Tb", "Tb", "Dy", "Dy", "Dy", "Dy", "Dy", "Y"], "fractional_positions": [[0.028, 0.028, 0.249], [0.348, 0.348, 0.250], [0.652, 0.652, 0.750], [0.972, 0.972, 0.751], [0.174, 0.174, 0.054], [0.174, 0.174, 0.446], [0.500, 0.500, 0.000], [0.826, 0.826, 0.554], [0.826, 0.826, 0.946], [0.500, 0.500, 0.500]], "delta_e_f_ev_per_atom": 0.1858, "crystal_system": "monoclinic", "sg": "C2/m, No. 12", "polymorph_energy_mev_per_atom": 0}

***

{"formula": "Ga3TcH", "functional": "PBE-GGA", "state": "optimized geometry", "lattice_angstrom": [[4.008, 0.000, 0.000], [0.000, 4.008, 0.000], [0.000, 0.000, 4.008]], "species": ["Ga", "Ga", "Ga", "Tc", "H"], "fractional_positions": [[0.000, 0.000, 0.500], [0.000, 0.500, 0.000], [0.500, 0.000, 0.000], [0.500, 0.500, 0.500], [0.000, 0.000, 0.000]], "crystal_system": "cubic", "sg": "Pm-3m, No. 221", "polymorph_energy_mev_per_atom": 162}

***

{"formula": "Y2Ga3IrPt4", "functional": "PBE-GGA", "state": "optimized geometry", "lattice_angstrom": [[4.037, 0.000, 0.000], [0.000, 4.037, 0.000], [0.000, 0.000, 11.421]], "species": ["Y", "Y", "Ga", "Ga", "Ga", "Ir", "Pt", "Pt", "Pt", "Pt"], "fractional_positions": [[0.000, 0.500, 0.242], [0.500, 0.000, 0.758], [0.000, 0.000, 0.000], [0.000, 0.500, 0.633], [0.500, 0.000, 0.367], [0.500, 0.500, 0.000], [0.000, 0.000, 0.500], [0.000, 0.500, 0.846], [0.500, 0.000, 0.154], [0.500, 0.500, 0.500]], "delta_e_f_ev_per_atom": -0.8294, "crystal_system": "tetragonal", "sg": "P-4m2, No. 115"}

***

What did the first record say?
{"formula": "Be3GePd", "functional": "PBE-GGA", "state": "optimized geometry", "lattice_angstrom": [[4.258, 0.000, 0.000], [0.000, 4.258, 0.000], [0.000, 0.000, 4.258]], "species": ["Be", "Be", "Be", "Ge", "Pd"], "fractional_positions": [[0.000, 0.000, 0.500], [0.000, 0.500, 0.000], [0.500, 0.000, 0.000], [0.500, 0.500, 0.500], [0.000, 0.000, 0.000]], "delta_e_f_ev_per_atom": 0.5073, "crystal_system": "cubic", "sg": "Pm-3m, No. 221", "polymorph_energy_mev_per_atom": 0}

***

Q: Which formula does entry 6 have?
A: Y2Ga3IrPt4